[1]
DFT (PBE) results for Y12Er2Th5 after structural relaxation.

ΔE_f: 20.9 kJ/mol of atoms
N(E_F): 1.684 states/eV/atom
space group: C2/m

a = 7.0745 Å, b = 10.0295 Å, c = 10.2198 Å
α = 68.51°, β = 90.00°, γ = 110.65°
Closest atoms and distances in Å follow each position.
Fractional coordinates of all 19 atoms:
Th  0.6761  0.3523  0.7926  2 Er 3.50, 2 Th 3.56, 9 Y 3.63-3.87
Th  0.3239  0.6477  0.2074  2 Er 3.50, 2 Th 3.56, 9 Y 3.63-3.87
Th  0.1846  0.3692  0.8196  3 Y 3.22-3.53, 2 Th 3.56
Th  0.8154  0.6308  0.1804  3 Y 3.22-3.53, 2 Th 3.56
Th  0.0000  0.0000  0.5000  2 Y 2.93
Y  0.0815  0.6660  0.5182  6 Y 3.28-3.60, 2 Th 3.53-3.63
Y  0.0272  0.0545  0.7637  2 Th 2.93-3.22, 2 Er 3.03
Y  0.9728  0.9455  0.2363  2 Th 2.93-3.22, 2 Er 3.03
Y  0.4956  0.9912  0.3222  7 Y 3.41-3.71, 2 Er 3.60
Y  0.9120  0.3165  0.1362  6 Y 3.41-3.66, 2 Th 3.53-3.63, 1 Er 3.75
Y  0.0880  0.6835  0.8638  6 Y 3.41-3.66, 2 Th 3.53-3.63, 1 Er 3.75
Y  0.9185  0.3340  0.4818  6 Y 3.28-3.60, 2 Th 3.53-3.63
Y  0.5955  0.6835  0.8638  6 Y 3.41-3.66, 2 Th 3.53-3.63, 1 Er 3.75
Y  0.5044  0.0088  0.6778  7 Y 3.41-3.71, 2 Er 3.60
Y  0.4154  0.3340  0.4818  6 Y 3.28-3.60, 2 Th 3.53-3.63
Y  0.4045  0.3165  0.1362  6 Y 3.41-3.66, 2 Th 3.53-3.63, 1 Er 3.75
Y  0.5846  0.6660  0.5182  6 Y 3.28-3.60, 2 Th 3.53-3.63
Er  0.7148  0.0000  0.0000  2 Y 3.03, 1 Er 3.04
Er  0.2852  0.0000  0.0000  2 Y 3.03, 1 Er 3.04

=====

[2]
DFT (PBE) results for Cs3Sb2I9 after structural relaxation.

N(E_F): 0.000 states/eV/atom
polymorph energy (0 for the lowest one): 0.005 eV per atom
space group: P-3m1

a = 8.6602 Å, b = 8.6602 Å, c = 10.6131 Å
α = 90.00°, β = 90.00°, γ = 120.00°
Closest atoms and distances in Å follow each position.
Fractional coordinates of all 14 atoms:
I  0.0000  0.5000  0.0000  2 Sb 3.18
I  0.8298  0.6596  0.6655  1 Sb 2.92
I  0.5000  0.0000  0.0000  2 Sb 3.18
I  0.1702  0.3404  0.3345  1 Sb 2.92
I  0.6596  0.8298  0.3345  1 Sb 2.92
I  0.5000  0.5000  0.0000  2 Sb 3.18
I  0.8298  0.1702  0.6655  1 Sb 2.92
I  0.3404  0.1702  0.6655  1 Sb 2.92
I  0.1702  0.8298  0.3345  1 Sb 2.92
Cs  0.3333  0.6667  0.6740  12 I 4.27-4.36
Cs  0.0000  0.0000  0.0000  12 I 4.33-4.37
Cs  0.6667  0.3333  0.3260  12 I 4.27-4.36
Sb  0.6667  0.3333  0.8149  6 I 2.92-3.18
Sb  0.3333  0.6667  0.1851  6 I 2.92-3.18

=====

Number 1: spin magnetization 0.00 μB per formula unit. Number 2: spin magnetization 0.00 μB per formula unit.